Entry 1:
DFT (GGA-PBE) results for crystalline Mg2MnCrN4 at its relaxed geometry.

Results
**Magnetization**: 0.616 μB per atom
**DOS at the Fermi energy**: 0.124 states/eV/atom
**ΔE_f (raw)**: -0.55 eV per atom

a = 5.176 Å, b = 5.643 Å, c = 6.596 Å
α = 90.00°, β = 90.00°, γ = 90.00°
Last column: magnetic moment on the atom in μB.
Fractional positions:
Cr 0.000 0.168 0.000  0.87
Mn 0.993 0.168 0.500  3.65
N 0.374 0.126 0.500  0.00
N 0.840 0.846 0.500  0.00
Mg 0.993 0.677 0.751  0.01
N 0.404 0.686 0.730  -0.01
Mg 0.493 0.323 0.749  0.01
Mg 0.493 0.323 0.251  0.01
Cr 0.500 0.832 0.500  0.87
N 0.904 0.314 0.770  -0.01
Mg 0.993 0.677 0.249  0.01
N 0.874 0.874 0.000  0.00
N 0.404 0.686 0.270  -0.01
N 0.340 0.154 0.000  0.00
Mn 0.493 0.832 0.000  3.65
N 0.904 0.314 0.230  -0.01

***

Entry 2:
DFT (GGA-PBE) results for crystalline AgGeSeBr2 at its relaxed geometry.

Results
**Energy above the most stable polymorph in this dataset**: 0.201 eV per atom
**Magnetization**: 0.000 μB per atom
**DOS at the Fermi energy**: 0.154 states/eV/atom
**ΔE_f (raw)**: 0.30 eV per atom

a = 5.151 Å, b = 5.151 Å, c = 5.295 Å
α = 90.00°, β = 90.00°, γ = 90.00°
Fractional positions:
Br 0.000 0.500 0.000
Se 0.000 0.000 0.500
Ag 0.000 0.000 0.000
Ge 0.500 0.500 0.500
Br 0.500 0.000 0.000

***

Entry 3:
DFT (GGA-PBE) results for crystalline MgZrZn at its relaxed geometry.

Results
**Magnetization**: 0.000 μB per atom
**DOS at the Fermi energy**: 0.783 states/eV/atom
**Formation energy**: -12.8 kJ/mol of atoms

a = 6.419 Å, b = 6.418 Å, c = 3.133 Å
α = 75.88°, β = 75.87°, γ = 28.25°
Fractional positions:
Zn 0.333 0.333 0.667
Zr 0.681 0.681 0.319
Mg 0.986 0.986 0.014

***

Entry 4:
DFT (GGA-PBE) results for crystalline Rb2PdI6N at its relaxed geometry.

Results
**Magnetization**: 0.000 μB per atom
**DOS at the Fermi energy**: 0.596 states/eV/atom
**ΔE_f (raw)**: -0.22 eV per atom

a = 7.753 Å, b = 7.753 Å, c = 7.759 Å
α = 60.03°, β = 60.03°, γ = 90.00°
Fractional positions:
I 0.744 0.256 0.000
I 0.744 0.744 0.000
I 0.256 0.744 0.000
I 0.745 0.745 0.511
N 0.500 0.500 0.000
Rb 0.250 0.750 0.500
Rb 0.750 0.250 0.500
I 0.256 0.256 0.000
Pd 0.000 0.000 0.000
I 0.255 0.255 0.489

***

Entry 5:
DFT (GGA-PBE) results for crystalline KRbPt at its relaxed geometry.

Results
**Energy above the most stable polymorph in this dataset**: 0.000 eV per atom
**Magnetization**: 0.000 μB per atom
**DOS at the Fermi energy**: 0.789 states/eV/atom
**Formation energy**: -6.6 kJ/mol of atoms

a = 4.861 Å, b = 6.069 Å, c = 9.622 Å
α = 102.85°, β = 90.00°, γ = 90.00°
Fractional positions:
Rb 0.250 0.186 0.317
Pt 0.750 0.060 0.018
Pt 0.250 0.940 0.982
K 0.750 0.629 0.143
Rb 0.750 0.814 0.683
K 0.250 0.371 0.857

***

Entry 6:
DFT (GGA-PBE) results for crystalline HgMoIr at its relaxed geometry.

Results
**Energy above the most stable polymorph in this dataset**: 0.152 eV per atom
**Magnetization**: 0.000 μB per atom
**DOS at the Fermi energy**: 0.579 states/eV/atom
**Formation energy**: 28.9 kJ/mol of atoms

a = 5.153 Å, b = 5.153 Å, c = 5.153 Å
α = 147.58°, β = 135.61°, γ = 56.03°
Fractional positions:
Hg 0.999 0.999 0.000
Ir 0.315 0.315 0.000
Mo 0.686 0.686 0.000

***

Entry 7:
DFT (GGA-PBE) results for crystalline TlZnClF2 at its relaxed geometry.

Results
**Energy above the most stable polymorph in this dataset**: 0.000 eV per atom
**Magnetization**: 0.000 μB per atom
**DOS at the Fermi energy**: 0.000 states/eV/atom
**ΔE_f (raw)**: -1.71 eV per atom

a = 3.819 Å, b = 7.098 Å, c = 7.633 Å
α = 90.00°, β = 90.00°, γ = 105.61°
Fractional positions:
Tl 0.728 0.455 0.750
Cl 0.522 0.044 0.250
F 0.864 0.728 0.035
Tl 0.272 0.545 0.250
Zn 0.000 0.000 0.500
Zn 0.000 0.000 0.000
F 0.864 0.728 0.465
Cl 0.478 0.956 0.750
F 0.136 0.272 0.535
F 0.136 0.272 0.965

***

Entry 8:
DFT (GGA-PBE) results for crystalline BaBeSCl2 at its relaxed geometry.

Results
**Energy above the most stable polymorph in this dataset**: 1.324 eV per atom
**Magnetization**: 0.403 μB per atom
**DOS at the Fermi energy**: 0.852 states/eV/atom
**ΔE_f (raw)**: -0.16 eV per atom

a = 5.975 Å, b = 5.975 Å, c = 6.455 Å
α = 90.00°, β = 90.00°, γ = 90.00°
Last column: magnetic moment on the atom in μB.
Fractional positions:
Cl 0.000 0.500 0.000  0.04
S 0.000 0.000 0.500  0.80
Be 0.500 0.500 0.500  0.19
Ba 0.000 0.000 0.000  -0.01
Cl 0.500 0.000 0.000  0.04

***

Question: Which of these has the highest DOS at the Fermi energy?
Answer: BaBeSCl2

***

Question: The highest DOS at the Fermi energy belongs to which entry?
Answer: BaBeSCl2

***

Question: Among the records above, which one has the highest magnetization?
Answer: Mg2MnCrN4

***

Question: Which of these has the lowest DOS at the Fermi energy?
Answer: TlZnClF2